<one>
TbNdSn | GGA-PBE | optimized geometry

a b c (Å): 4.6497 4.6497 17.1346
angles (deg): 90.00 90.00 90.00
Last column: nearest neighbours and their distance in Å.
Sites, in units of the cell vectors:
Tb 0.0000 0.5000 0.0000  4 Sn 3.26, 4 Tb 3.29
Tb 0.0000 0.5000 0.5000  4 Sn 3.26, 4 Tb 3.29
Tb 0.5000 0.0000 0.0000  4 Sn 3.26, 4 Tb 3.29
Tb 0.5000 0.0000 0.5000  4 Sn 3.26, 4 Tb 3.29
Nd 0.0000 0.0000 0.1770  5 Sn 3.25-3.37
Nd 0.0000 0.0000 0.8230  5 Sn 3.25-3.37
Nd 0.5000 0.5000 0.3230  5 Sn 3.25-3.37
Nd 0.5000 0.5000 0.6770  5 Sn 3.25-3.37
Sn 0.0000 0.0000 0.3664  5 Nd 3.25-3.37, 4 Tb 3.26
Sn 0.0000 0.0000 0.6336  5 Nd 3.25-3.37, 4 Tb 3.26
Sn 0.5000 0.5000 0.1336  5 Nd 3.25-3.37, 4 Tb 3.26
Sn 0.5000 0.5000 0.8664  5 Nd 3.25-3.37, 4 Tb 3.26

Computed properties:
* theoretical density: 7.56 g/cm3
* total magnetization: 0.83 μB/cell


<two>
TbNdSn | GGA-PBE | optimized geometry

a b c (Å): 5.1645 5.1645 3.9559
angles (deg): 90.00 90.00 120.00
Last column: nearest neighbours and their distance in Å.
Sites, in units of the cell vectors:
Tb 0.0000 0.0000 0.0000  3 Sn 3.11, 3 Nd 3.46
Nd 0.6667 0.3333 0.4424  3 Sn 3.27, 3 Tb 3.46
Sn 0.3333 0.6667 0.7798  3 Tb 3.11, 3 Nd 3.27

Computed properties:
* theoretical density: 7.67 g/cm3
* total magnetization: 0.00 μB/cell


Most stable structure, least stable structure: <one>, <two>.


<one>
TbNdSn | GGA-PBE | optimized geometry

a b c (Å): 3.3718 3.3718 17.5655
angles (deg): 90.00 90.00 90.00
Last column: nearest neighbours and their distance in Å.
Sites, in units of the cell vectors:
Tb 0.0000 0.0000 0.0000  4 Sn 3.24, 4 Tb 3.37, 1 Nd 3.45
Tb 0.5000 0.5000 0.5000  4 Sn 3.24, 4 Tb 3.37, 1 Nd 3.45
Nd 0.0000 0.0000 0.1964  1 Sn 3.15, 4 Nd 3.37, 1 Tb 3.45
Nd 0.5000 0.5000 0.6964  1 Sn 3.15, 4 Nd 3.37, 1 Tb 3.45
Sn 0.0000 0.0000 0.3755  1 Nd 3.15, 4 Tb 3.24, 4 Sn 3.37
Sn 0.5000 0.5000 0.8755  1 Nd 3.15, 4 Tb 3.24, 4 Sn 3.37

Computed properties:
* theoretical density: 7.02 g/cm3
* total magnetization: 0.00 μB/cell


<two>
TbNdSn | GGA-PBE | optimized geometry

a b c (Å): 4.3859 4.3859 10.0790
angles (deg): 90.00 90.00 90.00
Last column: nearest neighbours and their distance in Å.
Sites, in units of the cell vectors:
Tb 0.2500 0.2500 0.0944  1 Sn 3.06
Tb 0.7500 0.7500 0.9056  1 Sn 3.06
Nd 0.2500 0.2500 0.7092  5 Sn 3.14-3.28
Nd 0.7500 0.7500 0.2908  5 Sn 3.14-3.28
Sn 0.2500 0.2500 0.3977  1 Tb 3.06, 5 Nd 3.14-3.28
Sn 0.7500 0.7500 0.6023  1 Tb 3.06, 5 Nd 3.14-3.28

Computed properties:
* theoretical density: 7.23 g/cm3
* total magnetization: 0.00 μB/cell


<three>
TbNdSn | GGA-PBE | optimized geometry

a b c (Å): 8.2770 4.6099 9.7612
angles (deg): 90.00 90.00 90.00
Last column: nearest neighbours and their distance in Å.
Sites, in units of the cell vectors:
Tb 0.1343 0.2500 0.0657  4 Sn 3.11-3.24, 2 Tb 3.45
Tb 0.3657 0.7500 0.5657  4 Sn 3.11-3.24, 2 Tb 3.45
Tb 0.6343 0.2500 0.4343  4 Sn 3.11-3.24, 2 Tb 3.45
Tb 0.8657 0.7500 0.9343  4 Sn 3.11-3.24, 2 Tb 3.45
Nd 0.0396 0.2500 0.6683  5 Sn 3.35-3.49, 2 Tb 3.69
Nd 0.4604 0.7500 0.1683  5 Sn 3.35-3.49, 2 Tb 3.69
Nd 0.5396 0.2500 0.8317  5 Sn 3.35-3.49, 2 Tb 3.69
Nd 0.9604 0.7500 0.3317  5 Sn 3.35-3.49, 2 Tb 3.69
Sn 0.2502 0.2500 0.3686  4 Tb 3.11-3.24, 3 Nd 3.35-3.41
Sn 0.2498 0.7500 0.8686  4 Tb 3.11-3.24, 3 Nd 3.35-3.41
Sn 0.7502 0.2500 0.1314  4 Tb 3.11-3.24, 3 Nd 3.35-3.41
Sn 0.7498 0.7500 0.6314  4 Tb 3.11-3.24, 3 Nd 3.35-3.41

Computed properties:
* theoretical density: 7.52 g/cm3
* total magnetization: 5.97 μB/cell


Most stable structure, least stable structure: <three>, <one>.


<one>
Tb2NdSn | GGA-PBE | optimized geometry

a b c (Å): 4.1072 4.1072 7.0707
angles (deg): 90.00 90.00 90.00
Last column: nearest neighbours and their distance in Å.
Sites, in units of the cell vectors:
Tb 0.0000 0.0000 0.2183  1 Tb 3.09, 4 Sn 3.29
Tb 0.0000 0.0000 0.7817  1 Tb 3.09, 4 Sn 3.29
Nd 0.5000 0.5000 0.5000  8 Tb 3.52, 2 Sn 3.54
Sn 0.5000 0.5000 0.0000  8 Tb 3.29, 2 Nd 3.54

Computed properties:
* theoretical density: 8.09 g/cm3
* total magnetization: 0.00 μB/cell


<two>
Tb2NdSn | GGA-PBE | optimized geometry

a b c (Å): 4.8800 4.8800 4.8490
angles (deg): 90.00 90.00 90.00
Last column: nearest neighbours and their distance in Å.
Sites, in units of the cell vectors:
Tb 0.0000 0.5000 0.0000  4 Sn 3.44, 4 Nd 3.44, 4 Tb 3.45
Tb 0.5000 0.0000 0.0000  4 Sn 3.44, 4 Nd 3.44, 4 Tb 3.45
Nd 0.0000 0.0000 0.5000  8 Tb 3.44, 4 Sn 3.45
Sn 0.5000 0.5000 0.5000  8 Tb 3.44, 4 Nd 3.45

Computed properties:
* theoretical density: 8.35 g/cm3
* total magnetization: 0.00 μB/cell


<three>
Tb2NdSn | GGA-PBE | optimized geometry

a b c (Å): 5.4980 12.9460 6.9074
angles (deg): 90.00 90.00 90.00
Last column: nearest neighbours and their distance in Å.
Sites, in units of the cell vectors:
Tb 0.0000 0.1328 0.0194  3 Sn 3.11-3.22, 2 Tb 3.19-3.45, 2 Nd 3.42
Tb 0.0000 0.1328 0.4806  3 Sn 3.11-3.22, 2 Tb 3.19-3.45, 2 Nd 3.42
Tb 0.0000 0.8672 0.5194  3 Sn 3.11-3.22, 2 Tb 3.19-3.45, 2 Nd 3.42
Tb 0.0000 0.8672 0.9806  3 Sn 3.11-3.22, 2 Tb 3.19-3.45, 2 Nd 3.42
Tb 0.5000 0.3672 0.5194  3 Sn 3.11-3.22, 2 Tb 3.19-3.45, 2 Nd 3.42
Tb 0.5000 0.3672 0.9806  3 Sn 3.11-3.22, 2 Tb 3.19-3.45, 2 Nd 3.42
Tb 0.5000 0.6328 0.0194  3 Sn 3.11-3.22, 2 Tb 3.19-3.45, 2 Nd 3.42
Tb 0.5000 0.6328 0.4806  3 Sn 3.11-3.22, 2 Tb 3.19-3.45, 2 Nd 3.42
Nd 0.0000 0.4310 0.2500  1 Sn 3.15, 4 Tb 3.42
Nd 0.0000 0.5690 0.7500  1 Sn 3.15, 4 Tb 3.42
Nd 0.5000 0.0690 0.7500  1 Sn 3.15, 4 Tb 3.42
Nd 0.5000 0.9310 0.2500  1 Sn 3.15, 4 Tb 3.42
Sn 0.0000 0.3256 0.7500  6 Tb 3.11-3.22, 1 Nd 3.15
Sn 0.0000 0.6744 0.2500  6 Tb 3.11-3.22, 1 Nd 3.15
Sn 0.5000 0.1744 0.2500  6 Tb 3.11-3.22, 1 Nd 3.15
Sn 0.5000 0.8256 0.7500  6 Tb 3.11-3.22, 1 Nd 3.15

Computed properties:
* theoretical density: 7.85 g/cm3
* total magnetization: 0.00 μB/cell


Most stable structure, least stable structure: <two>, <three>.